## SnHg2Ge (PBE-GGA)

Data for SnHg2Ge after structural relaxation.

abc: 3.1646 3.1646 11.8333
angles: 82.32 82.32 60.00
Closest atoms and distances in Å follow each position.
Fractional positions:
Ge  0.0000  0.0000  0.0000  2 Hg 2.84, 6 Ge 3.16
Hg  0.0811  0.0811  0.7567  1 Ge 2.84, 6 Hg 3.16
Hg  0.9189  0.9189  0.2433  1 Ge 2.84, 6 Hg 3.16
Sn  0.5000  0.5000  0.5000  6 Sn 3.16, 6 Hg 3.51

VASP energy: -8.47 eV per formula unit
Energy of formation from the pure elements: 0.19 eV per atom